(1)
20
Lattice="6.8454 0.0000 0.0000 0.0000 5.4683 0.0000 0.0000 0.0000 7.7987" Properties=species:S:1:pos:R:3 comment="Mg2BPIr6 | the Alexandria database | PBE-GGA | optimized geometry" e_form_mev_per_atom=-242 m_tot_mub_per_cell=0.000 pbc="T T T"
Mg 3.4227 4.3832 2.2297
Mg 0.0000 1.0850 6.1290
Mg 3.4227 4.3832 5.5690
Mg 0.0000 1.0850 1.6697
B 0.0000 2.0083 3.8994
B 3.4227 3.4599 0.0000
P 3.4227 1.0693 3.8994
P 0.0000 4.3990 0.0000
Ir 3.4227 1.6477 1.6662
Ir 3.4227 1.6477 6.1325
Ir 0.0000 3.8205 2.2332
Ir 0.0000 3.8205 5.5655
Ir 1.3746 0.0622 3.8994
Ir 5.4708 0.0622 3.8994
Ir 1.8816 2.8345 3.8994
Ir 4.9637 2.8345 3.8994
Ir 5.3043 2.6338 0.0000
Ir 1.5410 2.6338 0.0000
Ir 2.0481 5.4061 0.0000
Ir 4.7972 5.4061 0.0000

(2)
14
Lattice="-1.0024 -4.7291 -2.8744 8.3725 -2.8769 -3.6849 -1.8154 -6.8706 6.4384" Properties=species:S:1:pos:R:3 comment="Tb3Ho8Th3 | the Alexandria database | PBE-GGA | optimized geometry" e_form_mev_per_atom=154 m_tot_mub_per_cell=0.000 pbc="T T T"
Tb 2.7773 -7.2383 -0.0605
Tb 0.4641 -5.7029 -1.7828
Tb 5.0906 -8.7737 1.6618
Ho -0.6999 -7.3390 1.3141
Ho 6.2545 -7.1376 -1.4351
Ho 3.8611 -5.5511 -3.2179
Ho 1.6935 -8.9255 3.0969
Ho 4.5310 -9.9881 -1.6469
Ho 1.0237 -4.4885 1.5259
Ho 2.4272 -10.8127 0.4435
Ho 3.1274 -3.6639 -0.5645
Th -0.5012 -2.3645 -1.4372
Th 6.4886 -3.6154 -1.8130
Th 0.0684 -6.1321 4.5665

(3)
9
Lattice="-5.1927 4.9301 2.0319 -0.9455 -6.3203 3.8155 6.7563 2.7706 1.4404" Properties=species:S:1:pos:R:3 comment="Cs2GaHg2Br4 | the Alexandria database | PBE-GGA | optimized geometry" m_tot_mub_per_cell=0.000 e_form_raw_ev_per_atom=-0.996 pbc="T T T"
Cs -1.6164 -1.5826 4.2376
Cs 2.2345 2.9629 3.0501
Ga 0.0000 0.0000 0.0000
Hg 3.9229 -2.3965 3.5483
Hg 1.8878 -1.1533 1.7076
Br 0.8150 -4.2423 3.2726
Br 1.6638 -0.0621 5.1574
Br 4.9958 0.6925 1.9833
Br -1.0457 1.4425 2.1304

(4)
20
Lattice="7.7499 0.0000 0.0000 3.8750 6.7116 0.0000 3.8750 2.2372 13.6603" Properties=species:S:1:pos:R:3 comment="Rb2NaTl6Pt | the Alexandria database | PBE-GGA | optimized geometry" e_form_mev_per_atom=-66 m_tot_mub_per_cell=0.000 pbc="T T T"
Rb 11.6249 6.7116 4.1854
Rb 3.8750 2.2372 9.4748
Rb 11.6249 6.7116 11.2807
Rb 3.8750 2.2372 2.3796
Na 7.7499 4.4744 3.8074
Na 7.7499 4.4744 9.8529
Tl 10.0206 3.1634 5.7483
Tl 7.7499 7.0964 5.7483
Tl 5.4792 3.1634 5.7483
Tl 5.4792 5.7854 7.9119
Tl 7.7499 1.8525 7.9119
Tl 10.0206 5.7854 7.9119
Tl 9.3992 3.5222 12.4998
Tl 7.7499 6.3789 12.4998
Tl 6.1006 3.5222 12.4998
Tl 6.1006 5.4267 1.1605
Tl 7.7499 2.5699 1.1605
Tl 9.3993 5.4267 1.1605
Pt 0.0000 0.0000 0.0000
Pt 7.7499 4.4744 6.8301

(5)
12
Lattice="4.1025 0.0000 0.0000 0.0000 8.3286 0.3011 -2.0512 -2.3971 8.6554" Properties=species:S:1:pos:R:3 comment="Th6Ir2Ru3Au | the Alexandria database | PBE-GGA | optimized geometry" e_form_mev_per_atom=-642 m_tot_mub_per_cell=0.000 pbc="T T T"
Th 0.0000 6.0459 5.8799
Th 2.0512 4.0864 3.0646
Th 2.0512 -0.1144 3.0766
Th 0.0000 2.2539 0.0975
Th 2.0512 3.6776 8.8590
Th 0.0000 1.8451 5.8920
Ir 2.0512 3.9676 5.9857
Ir 0.0000 1.9639 2.9708
Ru 2.0512 4.1643 0.1506
Ru 2.0512 -0.2622 5.9190
Ru 0.0000 6.1937 3.0375
Au 2.0512 0.0000 0.0000

(6)
14
Lattice="7.7265 0.0000 0.0000 3.8632 6.6913 0.0000 3.8632 2.2304 6.4619" Properties=species:S:1:pos:R:3 comment="CaTbSc4S8 | the Alexandria database | PBE-GGA | optimized geometry" m_tot_mub_per_cell=0.000 e_form_raw_ev_per_atom=-1.885 pbc="T T T"
Ca 7.7265 4.4609 5.7202
Tb 3.8632 2.2304 6.4344
Sc 7.7265 4.4609 0.7818
Sc 3.8632 4.4295 3.2455
Sc 5.7677 1.1309 3.2455
Sc 1.9588 1.1309 3.2455
S 7.7265 6.8742 4.6685
S 9.8165 3.2543 4.6685
S 5.6365 3.2543 4.6685
S 3.8633 2.2304 1.9049
S 7.7265 2.1549 1.7273
S 5.7295 5.6139 1.7273
S 9.7235 5.6139 1.7273
S 11.5897 6.6913 4.6995

(7)
4
Lattice="3.7111 0.0000 0.0000 0.0000 3.7111 0.0000 0.0000 0.0000 7.7976" Properties=species:S:1:pos:R:3 comment="Ce2DyPd | the Alexandria database | PBE-GGA | optimized geometry" e_form_mev_per_atom=-232 m_tot_mub_per_cell=1.451 de_polymorph_mev_per_atom=0.0 pbc="T T T"
Pd 1.8555 1.8555 0.0000
Ce 0.0000 0.0000 6.2381
Ce 0.0000 0.0000 1.5594
Dy 1.8555 1.8555 3.8988

(8)
13
Lattice="6.0919 0.0000 0.0000 3.0460 5.2758 0.0000 3.0460 1.7586 11.8969" Properties=species:S:1:pos:R:3 comment="Ce2Pm3Hg8 | the Alexandria database | PBE-GGA | optimized geometry" e_form_mev_per_atom=-122 m_tot_mub_per_cell=3.651 pbc="T T T"
Ce 6.0919 3.5172 1.3356
Ce 6.0920 3.5172 10.5613
Pm 0.0000 0.0000 0.0000
Pm 9.1379 5.2758 6.9000
Pm 3.0460 1.7586 4.9969
Hg 9.1379 5.2758 10.1754
Hg 3.0460 1.7586 1.7215
Hg 4.5474 4.4089 3.9900
Hg 6.0919 1.7338 3.9900
Hg 7.6364 4.4089 3.9900
Hg 6.0920 5.3006 7.9069
Hg 7.6364 2.6255 7.9069
Hg 4.5475 2.6255 7.9069

(9)
10
Lattice="4.4725 0.0000 0.0000 0.0000 6.3212 0.0000 0.0000 0.0000 6.3309" Properties=species:S:1:pos:R:3 comment="PrGaNi3 | the Alexandria database | PBE-GGA | optimized geometry" e_form_mev_per_atom=-5 m_tot_mub_per_cell=0.000 de_polymorph_mev_per_atom=203.8 pbc="T T T"
Pr 2.2363 0.0000 0.0000
Pr 2.2363 3.1606 3.1654
Ga 0.0000 3.1606 0.0000
Ga 0.0000 0.0000 3.1654
Ni 2.2363 3.1606 0.0000
Ni 2.2363 0.0000 3.1654
Ni 0.0000 4.7354 1.5883
Ni 0.0000 1.5748 1.5772
Ni 0.0000 1.5859 4.7426
Ni 0.0000 4.7465 4.7537

(10)
5
Lattice="3.9507 0.0000 0.0000 0.0000 3.9507 0.0000 1.9753 1.9753 6.5755" Properties=species:S:1:pos:R:3 comment="Ga2Ag2Sn | the Alexandria database | PBE-GGA | optimized geometry" e_form_mev_per_atom=62 m_tot_mub_per_cell=0.000 de_polymorph_mev_per_atom=13.4 pbc="T T T"
Ga 3.9507 1.9753 3.2877
Ga 1.9753 3.9507 3.2877
Sn 0.0000 0.0000 0.0000
Ag 1.9753 1.9753 1.3888
Ag 3.9507 3.9507 5.1866

(11)
12
Lattice="3.9116 0.0000 0.0000 0.0000 10.1403 0.5800 0.0000 -2.1030 6.8851" Properties=species:S:1:pos:R:3 comment="NaLiTeS3 | the Alexandria database | PBE-GGA | optimized geometry" m_tot_mub_per_cell=0.000 e_form_raw_ev_per_atom=-0.635 pbc="T T T"
Na 0.9779 2.5298 2.6943
Na 2.9337 5.5075 4.7709
Li 0.9779 -0.6012 4.3876
Li 2.9337 8.6384 3.0776
Te 0.9779 6.5265 1.3521
Te 2.9337 1.5108 6.1131
S 2.9337 8.1971 0.6984
S 0.9779 -0.1598 6.7667
S 0.9779 7.3434 3.7557
S 2.9337 0.6939 3.7095
S 2.9337 4.6607 1.9263
S 0.9779 3.3766 5.5389

(12)
5
Lattice="5.9812 0.0000 0.0000 0.0000 4.6383 0.0000 0.0000 0.0000 5.9812" Properties=species:S:1:pos:R:3 comment="LaHfBi2B | the Alexandria database | PBE-GGA | optimized geometry" e_form_mev_per_atom=1409 m_tot_mub_per_cell=0.004 pbc="T T T"
B 0.0000 2.3192 0.0000
Hf 2.9906 2.3192 2.9906
Bi 0.0000 0.0000 2.9906
Bi 2.9906 0.0000 0.0000
La 0.0000 0.0000 0.0000

What did the seventh record say?
4
Lattice="3.7111 0.0000 0.0000 0.0000 3.7111 0.0000 0.0000 0.0000 7.7976" Properties=species:S:1:pos:R:3 comment="Ce2DyPd | the Alexandria database | PBE-GGA | optimized geometry" e_form_mev_per_atom=-232 m_tot_mub_per_cell=1.451 de_polymorph_mev_per_atom=0.0 pbc="T T T"
Pd 1.8555 1.8555 0.0000
Ce 0.0000 0.0000 6.2381
Ce 0.0000 0.0000 1.5594
Dy 1.8555 1.8555 3.8988